1.
{"formula": "TbCdAu2", "functional": "PBE", "state": "optimized geometry", "final_energy_ev_per_cell": -28.842, "spacegroup": "No. 40", "rho_g_cm3": 12.78, "ef_ev_per_atom": -0.591, "lattice_angstrom": [[4.910, 0.000, 0.000], [0.000, 5.736, 3.068], [0.000, -5.736, 3.068]], "species": ["Tb", "Tb", "Cd", "Cd", "Au", "Au", "Au", "Au"], "frac_coords": [[0.250, 0.177, 0.823], [0.750, 0.823, 0.177], [0.250, 0.215, 0.357], [0.750, 0.357, 0.215], [0.250, 0.667, 0.340], [0.250, 0.698, 0.854], [0.750, 0.340, 0.667], [0.750, 0.854, 0.698]]}

2.
{"formula": "PrFe2P2", "functional": "PBE", "state": "optimized geometry", "final_energy_ev_per_cell": -72.395, "spacegroup": "No. 129", "rho_g_cm3": 7.09, "lattice_angstrom": [[3.995, 0.000, 0.000], [0.000, 3.995, 0.000], [0.000, 0.000, 9.233]], "species": ["Pr", "Pr", "Fe", "Fe", "Fe", "Fe", "P", "P", "P", "P"], "frac_coords": [[0.250, 0.250, 0.243], [0.750, 0.750, 0.757], [0.250, 0.250, 0.883], [0.250, 0.750, 0.500], [0.750, 0.250, 0.500], [0.750, 0.750, 0.117], [0.250, 0.250, 0.625], [0.250, 0.750, 0.000], [0.750, 0.250, 0.000], [0.750, 0.750, 0.375]]}

3.
{"formula": "Dy3Lu3FeTe2", "functional": "PBE", "state": "optimized geometry", "final_energy_ev_per_cell": -47.008, "spacegroup": "No. 189", "rho_g_cm3": 9.43, "lattice_angstrom": [[8.272, 0.000, 0.000], [-4.136, 7.164, 0.000], [0.000, 0.000, 3.933]], "species": ["Dy", "Dy", "Dy", "Lu", "Lu", "Lu", "Fe", "Te", "Te"], "frac_coords": [[0.000, 0.237, 0.000], [0.237, 0.000, 0.000], [0.763, 0.763, 0.000], [0.000, 0.604, 0.500], [0.396, 0.396, 0.500], [0.604, 0.000, 0.500], [0.000, 0.000, 0.500], [0.333, 0.667, 0.000], [0.667, 0.333, 0.000]]}

4.
{"formula": "As2W8C3N3", "functional": "PBE", "state": "optimized geometry", "final_energy_ev_per_cell": -160.884, "spacegroup": "No. 164", "rho_g_cm3": 14.62, "lattice_angstrom": [[3.162, 0.000, 0.000], [-1.581, 2.739, 0.000], [0.000, 0.000, 22.273]], "species": ["As", "As", "W", "W", "W", "W", "W", "W", "W", "W", "C", "C", "C", "N", "N", "N"], "frac_coords": [[0.333, 0.667, 0.254], [0.667, 0.333, 0.746], [0.000, 0.000, 0.159], [0.000, 0.000, 0.337], [0.000, 0.000, 0.663], [0.000, 0.000, 0.841], [0.333, 0.667, 0.059], [0.333, 0.667, 0.452], [0.667, 0.333, 0.548], [0.667, 0.333, 0.941], [0.000, 0.000, 0.000], [0.333, 0.667, 0.885], [0.667, 0.333, 0.115], [0.000, 0.000, 0.500], [0.333, 0.667, 0.605], [0.667, 0.333, 0.395]]}

5.
{"formula": "PrNiSn2Ge", "functional": "PBE", "state": "optimized geometry", "final_energy_ev_per_cell": -51.610, "spacegroup": "No. 65", "polymorph_energy_ev_per_atom": 0.000, "rho_g_cm3": 7.52, "lattice_angstrom": [[2.195, -11.611, 0.000], [2.195, 11.611, 0.000], [0.000, 0.000, 4.417]], "species": ["Pr", "Pr", "Ni", "Ni", "Sn", "Sn", "Sn", "Sn", "Ge", "Ge"], "frac_coords": [[0.176, 0.824, 0.000], [0.824, 0.176, 0.000], [0.381, 0.619, 0.500], [0.619, 0.381, 0.500], [0.062, 0.938, 0.500], [0.438, 0.562, 0.000], [0.562, 0.438, 0.000], [0.938, 0.062, 0.500], [0.281, 0.719, 0.500], [0.719, 0.281, 0.500]]}

6.
{"formula": "InAgTe2WS", "functional": "PBE", "state": "optimized geometry", "final_energy_ev_per_cell": -56.153, "spacegroup": "No. 63", "rho_g_cm3": 7.82, "lattice_angstrom": [[2.029, -7.252, 0.000], [2.029, 7.252, 0.000], [0.000, 0.000, 10.008]], "species": ["In", "In", "Ag", "Ag", "Te", "Te", "Te", "Te", "W", "W", "S", "S"], "frac_coords": [[0.232, 0.768, 0.750], [0.768, 0.232, 0.250], [0.025, 0.975, 0.250], [0.975, 0.025, 0.750], [0.136, 0.864, 0.033], [0.136, 0.864, 0.467], [0.864, 0.136, 0.533], [0.864, 0.136, 0.967], [0.500, 0.500, 0.000], [0.500, 0.500, 0.500], [0.427, 0.573, 0.250], [0.573, 0.427, 0.750]]}

7.
{"formula": "NaTmMg", "functional": "PBE", "state": "optimized geometry", "final_energy_ev_per_cell": -5.595, "spacegroup": "No. 216", "polymorph_energy_ev_per_atom": 0.000, "rho_g_cm3": 3.58, "lattice_angstrom": [[0.000, 3.687, 3.687], [3.687, 0.000, 3.687], [3.687, 3.687, 0.000]], "species": ["Na", "Tm", "Mg"], "frac_coords": [[0.000, 0.000, 0.000], [0.500, 0.500, 0.500], [0.250, 0.250, 0.250]]}

8.
{"formula": "RbSm2CuS4", "functional": "PBE", "state": "optimized geometry", "final_energy_ev_per_cell": -87.524, "spacegroup": "No. 63", "rho_g_cm3": 4.86, "lattice_angstrom": [[2.024, -6.993, 0.000], [2.024, 6.993, 0.000], [0.000, 0.000, 13.956]], "species": ["Rb", "Rb", "Sm", "Sm", "Sm", "Sm", "Cu", "Cu", "S", "S", "S", "S", "S", "S", "S", "S"], "frac_coords": [[0.107, 0.893, 0.750], [0.893, 0.107, 0.250], [0.366, 0.634, 0.562], [0.366, 0.634, 0.938], [0.634, 0.366, 0.062], [0.634, 0.366, 0.438], [0.163, 0.837, 0.250], [0.837, 0.163, 0.750], [0.000, 0.000, 0.000], [0.000, 0.000, 0.500], [0.260, 0.740, 0.111], [0.260, 0.740, 0.389], [0.425, 0.575, 0.750], [0.575, 0.425, 0.250], [0.740, 0.260, 0.611], [0.740, 0.260, 0.889]]}